Record 1
Density functional theory data (PBE) for a geometry-optimized LaTbGaHg structure.

The structure belongs to space group P4mm (No. 99); the cell edges are 3.699, 3.699 and 7.704 Å and the angles 90.00°, 90.00° and 90.00°. Symmetry generates all atoms from La at (0.000, 0.000, 0.000), Tb at (0.000, 0.000, 0.470), Ga at (0.500, 0.500, 0.249) and Hg at (0.500, 0.500, 0.706).

The formation energy comes out at -0.54 eV per atom. Its energy relative to the lowest polymorph listed for this composition is 0.00 eV/f.u.

Record 2
Density functional theory data (PBE) for a geometry-optimized LaTbGaHg structure.

The structure belongs to space group F-43m (No. 216); the cell edges are 7.547, 7.547 and 7.547 Å and the angles 90.00°, 90.00° and 90.00°. Symmetry generates all atoms from La at (0.000, 0.000, 0.000), Tb at (0.000, 0.000, 0.500), Ga at (0.250, 0.250, 0.250) and Hg at (0.250, 0.250, 0.750).

The formation energy comes out at -0.50 eV per atom. Its energy relative to the lowest polymorph listed for this composition is 0.16 eV/f.u.

Record 3
Density functional theory data (PBE) for a geometry-optimized La2GaTcHg structure.

The structure belongs to space group P4/mmm (No. 123); the cell edges are 5.398, 5.398 and 4.967 Å and the angles 90.00°, 90.00° and 90.00°. Symmetry generates all atoms from La at (0.000, 0.500, 0.000), Ga at (0.000, 0.000, 0.500), Tc at (0.000, 0.000, 0.000) and Hg at (0.500, 0.500, 0.500).

The formation energy comes out at -0.24 eV per atom.

Record 4
Density functional theory data (PBE) for a geometry-optimized LaGaHg2Te structure.

The structure belongs to space group P4/mmm (No. 123); the cell edges are 5.469, 5.469 and 5.470 Å and the angles 90.00°, 90.00° and 90.00°. Symmetry generates all atoms from La at (0.000, 0.000, 0.000), Ga at (0.500, 0.500, 0.000), Hg at (0.000, 0.500, 0.500) and Te at (0.500, 0.500, 0.500).

As for the energy relative to the elements, uncorrected: 1.53 eV per formula unit.

Record 5
Density functional theory data (PBE) for a geometry-optimized LaTl2GaHg structure.

The structure belongs to space group P4/mmm (No. 123); the cell edges are 5.602, 5.602 and 6.117 Å and the angles 90.00°, 90.00° and 90.00°. Symmetry generates all atoms from La at (0.000, 0.000, 0.000), Tl at (0.000, 0.500, 0.500), Ga at (0.000, 0.000, 0.500) and Hg at (0.500, 0.500, 0.000).

The formation energy comes out at 0.12 eV per atom.

Record 6
Density functional theory data (PBE) for a geometry-optimized LaTlGaHg structure.

The structure belongs to space group F-43m (No. 216); the cell edges are 7.495, 7.495 and 7.495 Å and the angles 90.00°, 90.00° and 90.00°. Symmetry generates all atoms from La at (0.000, 0.000, 0.000), Tl at (0.000, 0.000, 0.500), Ga at (0.250, 0.250, 0.750) and Hg at (0.250, 0.250, 0.250).

The formation energy comes out at -0.33 eV per atom.

Record 7
Density functional theory data (PBE) for a geometry-optimized La4TlGaHg2 structure.

The structure belongs to space group R-3m (No. 166, hexagonal axes); the cell edges are 5.5156, 5.5156 and 27.0608 Å and the angles 90.00°, 90.00° and 120.00°. Symmetry generates all atoms from La at (0.0000, 0.0000, 0.1192), La at (0.0000, 0.0000, 0.3690), Tl at (0.0000, 0.0000, 0.5000), Ga at (0.0000, 0.0000, 0.0000) and Hg at (0.0000, 0.0000, 0.2446).

The formation energy comes out at -0.49 eV per atom.

Record 8
Density functional theory data (PBE) for a geometry-optimized LaTmGaHg structure.

The structure belongs to space group F-43m (No. 216); the cell edges are 7.494, 7.494 and 7.494 Å and the angles 90.00°, 90.00° and 90.00°. Symmetry generates all atoms from La at (0.000, 0.000, 0.000), Tm at (0.000, 0.000, 0.500), Ga at (0.250, 0.250, 0.250) and Hg at (0.250, 0.250, 0.750).

The formation energy comes out at -0.50 eV per atom.

Record 9
Density functional theory data (PBE) for a geometry-optimized La2Zn3Ga4Hg structure.

The structure belongs to space group P-4m2 (No. 115); the cell edges are 4.393, 4.393 and 10.750 Å and the angles 90.00°, 90.00° and 90.00°. Symmetry generates all atoms from La at (0.000, 0.500, 0.242), Zn at (0.000, 0.500, 0.872), Zn at (0.500, 0.500, 0.500), Ga at (0.000, 0.000, 0.000), Ga at (0.000, 0.500, 0.644), Ga at (0.500, 0.500, 0.000) and Hg at (0.000, 0.000, 0.500).

The formation energy comes out at -0.48 eV per atom.

Record 10
Density functional theory data (PBE) for a geometry-optimized Li2GaHg3 structure.

The structure belongs to space group P4/mmm (No. 123); the cell edges are 3.462, 3.462 and 9.915 Å and the angles 90.00°, 90.00° and 90.00°. Symmetry generates all atoms from Li at (0.000, 0.000, 0.164), Ga at (0.000, 0.000, 0.500), Hg at (0.500, 0.500, 0.000) and Hg at (0.500, 0.500, 0.319).

The formation energy comes out at -0.23 eV per atom.

Record 11
Density functional theory data (PBE) for a geometry-optimized Li12Ga2Hg structure.

The structure belongs to space group P4/nbm (No. 125, origin choice 2); the cell edges are 5.347, 5.347 and 20.709 Å and the angles 90.00°, 90.00° and 90.00°. Symmetry generates all atoms from Li at (0.000, 0.000, 0.098), Li at (0.068, 0.568, 0.439), Li at (0.250, 0.250, 0.218), Li at (0.250, 0.250, 0.342), Ga at (0.250, 0.750, 0.309) and Hg at (0.250, 0.750, 0.000).

The formation energy comes out at 0.02 eV per atom.

Record 12
Density functional theory data (PBE) for a geometry-optimized Li15Ga2Hg2 structure.

The structure belongs to space group R-3m (No. 166, hexagonal axes); the cell edges are 8.0916, 8.0916 and 17.2563 Å and the angles 90.00°, 90.00° and 120.00°. Symmetry generates all atoms from Li at (0.0000, 0.2986, 0.0000), Li at (0.0000, 0.5000, 0.5000), Li at (0.0855, 0.5428, 0.1058), Ga at (0.0000, 0.0000, 0.0873) and Hg at (0.0000, 0.0000, 0.2875).

The formation energy comes out at -0.09 eV per atom.

Record 13
Density functional theory data (PBE) for a geometry-optimized LiGa4Hg structure.

The structure belongs to space group F-43m (No. 216); the cell edges are 7.845, 7.845 and 7.845 Å and the angles 90.00°, 90.00° and 90.00°. Symmetry generates all atoms from Li at (0.000, 0.000, 0.000), Ga at (0.125, 0.125, 0.375) and Hg at (0.250, 0.250, 0.750).

The formation energy comes out at -0.05 eV per atom. Its energy relative to the lowest polymorph listed for this composition is 0.15 eV/f.u.

Record 14
Density functional theory data (PBE) for a geometry-optimized Li2GaHg structure.

The structure belongs to space group Immm (No. 71); the cell edges are 3.233, 5.003 and 10.594 Å and the angles 90.00°, 90.00° and 90.00°. Symmetry generates all atoms from Li at (0.000, 0.000, 0.248), Ga at (0.000, 0.000, 0.000) and Hg at (0.000, 0.000, 0.500).

The formation energy comes out at 0.02 eV per atom.

Record 15
Density functional theory data (PBE) for a geometry-optimized Li2GaHg structure.

The structure belongs to space group R3m (No. 160, hexagonal axes); the cell edges are 3.1024, 3.1024 and 26.9395 Å and the angles 90.00°, 90.00° and 120.00°. Symmetry generates all atoms from Li at (0.0000, 0.0000, 0.0000), Li at (0.0000, 0.0000, 0.1597), Ga at (0.0000, 0.0000, 0.4133) and Hg at (0.0000, 0.0000, 0.5794).

The formation energy comes out at -0.21 eV per atom.

Record 16
Density functional theory data (PBE) for a geometry-optimized LiGaHg structure.

The structure belongs to space group Pnma (No. 62); the cell edges are 8.331, 4.188 and 7.120 Å and the angles 90.00°, 90.00° and 90.00°. Symmetry generates all atoms from Li at (0.109, 0.250, 0.192), Ga at (0.097, 0.750, 0.495) and Hg at (0.135, 0.250, 0.791).

The formation energy comes out at -0.18 eV per atom. Its energy relative to the lowest polymorph listed for this composition is 0.16 eV/f.u.

Record 17
Density functional theory data (PBE) for a geometry-optimized Li3GaHg structure.

The structure belongs to space group Pm-3m (No. 221); the cell edges are 4.872, 4.872 and 4.872 Å and the angles 90.00°, 90.00° and 90.00°. Symmetry generates all atoms from Li at (0.000, 0.000, 0.500), Ga at (0.000, 0.000, 0.000) and Hg at (0.500, 0.500, 0.500).

The formation energy comes out at 0.10 eV per atom. Its energy relative to the lowest polymorph listed for this composition is 2.06 eV/f.u.

Record 18
Density functional theory data (PBE) for a geometry-optimized Li3GaHg4 structure.

The structure belongs to space group P2/c (No. 13); the cell edges are 6.532, 4.868 and 9.736 Å and the angles 90.00°, 90.04° and 90.00°. Symmetry generates all atoms from Li at (0.000, 0.000, 0.000), Li at (0.000, 0.494, 0.250), Li at (0.500, 0.493, 0.250), Ga at (0.500, 0.000, 0.000), Hg at (0.240, 0.005, 0.750) and Hg at (0.240, 0.500, 0.000).

The formation energy comes out at -0.28 eV per atom.

Record 19
Density functional theory data (PBE) for a geometry-optimized Li3Ga4Hg2 structure.

The structure belongs to space group P-1 (No. 2); the cell edges are 4.691, 4.815 and 8.641 Å and the angles 77.31°, 89.81° and 60.88°. Symmetry generates all atoms from Li at (0.000, 0.000, 0.000), Li at (0.407, 0.224, 0.612), Ga at (0.083, 0.872, 0.661), Ga at (0.330, 0.344, 0.958) and Hg at (0.234, 0.499, 0.283).

The formation energy comes out at -0.20 eV per atom. Its energy relative to the lowest polymorph listed for this composition is 0.33 eV/f.u.

Record 20
Density functional theory data (PBE) for a geometry-optimized LiGa3Hg structure.

The structure belongs to space group P2_1/m (No. 11); the cell edges are 5.277, 6.663 and 5.941 Å and the angles 90.00°, 104.96° and 90.00°. Symmetry generates all atoms from Li at (0.117, 0.250, 0.417), Ga at (0.191, 0.053, 0.901), Ga at (0.432, 0.750, 0.772) and Hg at (0.345, 0.750, 0.310).

The formation energy comes out at -0.10 eV per atom. Its energy relative to the lowest polymorph listed for this composition is 0.03 eV/f.u.

| no. | ρ (Mg/m³) |
| --- | --- |
| 1 | 8.948 |
| 2 | 8.778 |
| 3 | 7.414 |
| 4 | 7.484 |
| 5 | 7.076 |
| 6 | 9.679 |
| 7 | 8.601 |
| 8 | 9.126 |
| 9 | 7.631 |
| 10 | 9.579 |
| 11 | 2.375 |
| 12 | 3.283 |
| 13 | 6.692 |
| 14 | 5.509 |
| 15 | 6.305 |
| 16 | 7.413 |
| 17 | 4.180 |
| 18 | 9.578 |
| 19 | 7.049 |
| 20 | 6.857 |